# 1
# Sm3Ag4Sn4

Sm3Ag4Sn4 after structural relaxation (PBE, the Alexandria database).

Structure (POSCAR):
```
Sm3Ag4Sn4
1.0
8.894 0.003 0.002
4.597 7.615 -0.002
-5.811 -5.464 3.935
Sm Ag Sn
3 4 4
Direct
0.371 0.871 0.500
0.629 0.129 0.500
0.000 0.000 0.000
0.633 0.329 0.304
0.974 0.671 0.304
0.367 0.671 0.696
0.026 0.329 0.696
0.215 0.215 0.000
0.785 0.785 0.000
0.695 0.500 0.195
0.305 0.500 0.805
```

Summary:
ΔE_f	-0.53	eV per atom
crystal system	orthorhombic
V	266.4	Å³/cell

=====

# 2
# Li2ErTmTe4

Li2ErTmTe4 after structural relaxation (PBE, the Alexandria database).

Structure (POSCAR):
```
Li2ErTmTe4
1.0
-3.731 -1.911 1.003
1.985 -0.103 7.188
-3.650 6.352 -1.476
Te Li Er Tm
4 2 1 1
Direct
0.500 0.750 0.747
0.500 0.250 0.253
0.000 0.752 0.253
0.000 0.248 0.747
0.000 0.500 0.500
0.500 0.000 0.500
0.500 0.500 0.000
0.000 0.000 0.000
```

Summary:
crystal system	monoclinic
uncorrected formation energy	-29.427	kcal/mol of atoms
V	226.5	Å³/cell